Here is a crystal of MoIr2Ru relaxed with PBEsol from the Alexandria database. Energies are from meta-GGA SCAN.

Lattice parameters (Å, degrees): 8.9879 2.7006 4.7229 90.00 99.77 90.00
Last column: nearest neighbours and their distance in Å.
Positions (direct):
Mo (0.0000, 0.0000, 0.0000)  7 Ir 2.70-2.74, 2 Mo 2.70, 3 Ru 2.72-2.74
Mo (0.5000, 0.5000, 0.0000)  7 Ir 2.70-2.74, 2 Mo 2.70, 3 Ru 2.72-2.74
Ir (0.2507, 0.0000, 0.7541)  5 Ir 2.70-2.74, 4 Ru 2.70-2.74, 3 Mo 2.70
Ir (0.4992, 0.0000, 0.4945)  3 Ru 2.68-2.69, 4 Mo 2.70-2.74, 5 Ir 2.70-2.74
Ir (0.7507, 0.5000, 0.7541)  5 Ir 2.70-2.74, 4 Ru 2.70-2.74, 3 Mo 2.70
Ir (0.9992, 0.5000, 0.4945)  3 Ru 2.68-2.69, 4 Mo 2.70-2.74, 5 Ir 2.70-2.74
Ru (0.2516, 0.5000, 0.2589)  7 Ir 2.68-2.74, 2 Ru 2.70, 3 Mo 2.72-2.74
Ru (0.7516, 0.0000, 0.2589)  7 Ir 2.68-2.74, 2 Ru 2.70, 3 Mo 2.72-2.74

Summary:
DOS(E_F): 7.088 states/eV per cell
M_tot: 0.000 μB per atom
energy above the most stable polymorph in this dataset: 168.5 meV per atom
space group: Cm, No. 8
uncorrected energy: -425.055 eV for the cell shown
energy of formation from the pure elements: -60 kJ/mol of formula units